# MgAgAu2

A relaxed structure of MgAgAu2 (GGA-PBE, the Alexandria database).

abc: 3.1919 3.7043 6.0803
angles: 90.00 90.45 90.00
Closest atoms and distances in Å follow each position.
Atoms (fractional coordinates):
Mg1 0.0000 0.0000 0.0000  8 Au 2.85-2.86, 2 Ag 3.04
Ag1 0.0000 0.0000 0.5000  8 Au 2.90-2.91, 2 Mg 3.04, 2 Ag 3.19
Au1 0.4988 0.5000 0.7579  4 Mg 2.85-2.86, 4 Ag 2.90-2.91, 2 Au 2.94-3.14
Au2 0.5012 0.5000 0.2421  4 Mg 2.85-2.86, 4 Ag 2.90-2.91, 2 Au 2.94-3.14

Results
Space group: No. 10
Formation energy in eV/atom: -0.34